No. 1
The following is a DFT calculation (PBE) of a geometry-optimized Re3Si5Ag structure.

Cell lengths 5.2677, 5.2677, 6.3739 Å; angles 90.00, 90.00, 120.00 degrees
Space group P6/mmm (No. 191)
Symmetry-distinct sites (fractional):
Re  0.0000  0.5000  0.0000 (multiplicity 3)
Si  0.0000  0.0000  0.0000 (multiplicity 1)
Si  0.3333  0.6667  0.3175 (multiplicity 4)
Ag  0.0000  0.0000  0.5000 (multiplicity 1)

Properties
calculated volume	153	Å³/cell
total moment	0.0	μB/cell
E_tot	-64.35	eV per formula unit

No. 2
The following is a DFT calculation (PBE) of a geometry-optimized Li2LuNb structure.

Cell lengths 6.8442, 6.8442, 6.8442 Å; angles 90.00, 90.00, 90.00 degrees
Space group F-43m (No. 216)
Symmetry-distinct sites (fractional):
Li  0.0000  0.0000  0.0000 (multiplicity 4)
Li  0.2500  0.2500  0.2500 (multiplicity 4)
Lu  0.2500  0.2500  0.7500 (multiplicity 4)
Nb  0.0000  0.0000  0.5000 (multiplicity 4)

Properties
calculated volume	321	Å³/cell
total moment	9.6	μB/cell
E_tot	-16.05	eV per formula unit

No. 3
The following is a DFT calculation (PBE) of a geometry-optimized LiScPd structure.

Cell lengths 6.2024, 6.2024, 6.2024 Å; angles 90.00, 90.00, 90.00 degrees
Space group F-43m (No. 216)
Symmetry-distinct sites (fractional):
Li  0.0000  0.0000  0.0000 (multiplicity 4)
Sc  0.2500  0.2500  0.2500 (multiplicity 4)
Pd  0.0000  0.0000  0.5000 (multiplicity 4)

Properties
calculated volume	239	Å³/cell
total moment	0.0	μB/cell
energy relative to the lowest polymorph listed for this composition	75	meV/atom

No. 4
The following is a DFT calculation (PBE) of a geometry-optimized RbCuIrSeS2 structure.

Cell lengths 3.7086, 15.1351, 9.6260 Å; angles 90.00, 90.00, 90.00 degrees
Space group Cmcm (No. 63)
Symmetry-distinct sites (fractional):
Rb  0.0000  0.2361  0.2500 (multiplicity 4)
Cu  0.0000  0.4637  0.7500 (multiplicity 4)
Ir  0.0000  0.0000  0.0000 (multiplicity 4)
Se  0.0000  0.0682  0.7500 (multiplicity 4)
S  0.0000  0.3996  0.5399 (multiplicity 8)

Properties
calculated volume	540	Å³/cell
total moment	0.0	μB/cell
E_tot	-27.98	eV per formula unit

No. 5
The following is a DFT calculation (PBE) of a geometry-optimized ScTcNiB structure.

Cell lengths 5.9450, 5.9450, 5.9450 Å; angles 90.00, 90.00, 90.00 degrees
Space group F-43m (No. 216)
Symmetry-distinct sites (fractional):
Sc  0.0000  0.0000  0.0000 (multiplicity 4)
Tc  0.2500  0.2500  0.7500 (multiplicity 4)
Ni  0.0000  0.0000  0.5000 (multiplicity 4)
B  0.2500  0.2500  0.2500 (multiplicity 4)

Properties
calculated volume	210	Å³/cell
total moment	6.5	μB/cell
energy relative to the lowest polymorph listed for this composition	501	meV/atom

No. 6
The following is a DFT calculation (PBE) of a geometry-optimized Dy2TmCd3AgHg2 structure.

Cell lengths 4.0066, 13.5745, 7.8594 Å; angles 90.00, 90.00, 90.00 degrees
Space group Amm2 (No. 38)
Symmetry-distinct sites (fractional):
Dy  0.0000  0.2022  0.0000 (multiplicity 4)
Tm  0.0000  0.0000  0.6062 (multiplicity 2)
Cd  0.5000  0.0000  0.9471 (multiplicity 2)
Cd  0.5000  0.1283  0.3306 (multiplicity 4)
Ag  0.0000  0.0000  0.2046 (multiplicity 2)
Hg  0.5000  0.1651  0.7018 (multiplicity 4)

Properties
calculated volume	427	Å³/cell
total moment	0.0	μB/cell
ΔE_f	-0.39	eV/atom

No. 7
The following is a DFT calculation (PBE) of a geometry-optimized NbZnCuIr structure.

Cell lengths 6.1914, 6.1914, 6.1914 Å; angles 90.00, 90.00, 90.00 degrees
Space group F-43m (No. 216)
Symmetry-distinct sites (fractional):
Nb  0.0000  0.0000  0.0000 (multiplicity 4)
Zn  0.2500  0.2500  0.2500 (multiplicity 4)
Cu  0.0000  0.0000  0.5000 (multiplicity 4)
Ir  0.2500  0.2500  0.7500 (multiplicity 4)

Properties
calculated volume	237	Å³/cell
total moment	0.4	μB/cell
energy relative to the lowest polymorph listed for this composition	86	meV/atom
ΔE_f	-0.12	eV/atom

No. 8
The following is a DFT calculation (PBE) of a geometry-optimized ZrSn2Mo2 structure.

Cell lengths 3.8767, 3.8767, 13.7027 Å; angles 90.00, 90.00, 90.00 degrees
Space group I4/mmm (No. 139)
Symmetry-distinct sites (fractional):
Zr  0.0000  0.0000  0.0000 (multiplicity 2)
Sn  0.0000  0.0000  0.3969 (multiplicity 4)
Mo  0.0000  0.5000  0.2500 (multiplicity 4)

Properties
calculated volume	206	Å³/cell
total moment	0.0	μB/cell
energy relative to the lowest polymorph listed for this composition	0	meV/atom

No. 9
The following is a DFT calculation (PBE) of a geometry-optimized Ta4B3P structure.

Cell lengths 3.3064, 3.3064, 22.1498 Å; angles 90.00, 90.00, 120.00 degrees
Space group P6_3/mmc (No. 194)
Symmetry-distinct sites (fractional):
Ta  0.0000  0.0000  0.1725 (multiplicity 4)
Ta  0.3333  0.6667  0.0579 (multiplicity 4)
B  0.0000  0.0000  0.0000 (multiplicity 2)
B  0.3333  0.6667  0.6176 (multiplicity 4)
P  0.3333  0.6667  0.2500 (multiplicity 2)

Properties
calculated volume	210	Å³/cell
total moment	0.0	μB/cell
E_tot	-78.74	eV per formula unit

No. 10
The following is a DFT calculation (PBE) of a geometry-optimized BiPt8 structure.

Cell lengths 8.7351, 3.9652, 30.5834 Å; angles 90.00, 90.02, 90.00 degrees
Space group C2/m (No. 12)
Symmetry-distinct sites (fractional):
Bi  0.0564  0.0000  0.2569 (multiplicity 4)
Pt  0.0467  0.5000  0.1029 (multiplicity 4)
Pt  0.0516  0.0000  0.9560 (multiplicity 4)
Pt  0.0531  0.5000  0.8064 (multiplicity 4)
Pt  0.1491  0.0000  0.1617 (multiplicity 4)
Pt  0.1496  0.5000  0.0145 (multiplicity 4)
Pt  0.1516  0.0000  0.8675 (multiplicity 4)
Pt  0.2469  0.0000  0.0732 (multiplicity 4)
Pt  0.2495  0.0000  0.7782 (multiplicity 4)

Properties
calculated volume	1059	Å³/cell
total moment	0.0	μB/cell
energy relative to the lowest polymorph listed for this composition	0	meV/atom

No. 11
The following is a DFT calculation (PBE) of a geometry-optimized ZrScCS structure.

Cell lengths 3.4408, 3.4408, 12.1116 Å; angles 90.00, 90.00, 120.00 degrees
Space group P-3m1 (No. 164)
Symmetry-distinct sites (fractional):
Zr  0.3333  0.6667  0.1020 (multiplicity 2)
Sc  0.3333  0.6667  0.4001 (multiplicity 2)
C  0.0000  0.0000  0.0000 (multiplicity 1)
C  0.0000  0.0000  0.5000 (multiplicity 1)
S  0.3333  0.6667  0.7499 (multiplicity 2)

Properties
calculated volume	124	Å³/cell
total moment	0.0	μB/cell
energy relative to the lowest polymorph listed for this composition	0	meV/atom

No. 12
The following is a DFT calculation (PBE) of a geometry-optimized NbPAuO structure.

Cell lengths 3.2925, 6.1622, 7.1555 Å; angles 90.00, 90.00, 90.00 degrees
Space group Pmc2_1 (No. 26)
Symmetry-distinct sites (fractional):
Nb  0.0000  0.0232  0.0000 (multiplicity 2)
P  0.5000  0.2878  0.8734 (multiplicity 2)
Au  0.5000  0.3936  0.5614 (multiplicity 2)
O  0.0000  0.1277  0.2494 (multiplicity 2)

Properties
calculated volume	145	Å³/cell
total moment	0.0	μB/cell
energy relative to the lowest polymorph listed for this composition	35	meV/atom

Q: Look up the total moment of the eleventh one.
A: 0.0 μB/cell